Entry 1:
Below is a relaxed structure of Sc4Bi2PSe, with properties calculated at the GGA-PBE level.

Cell: 6.913 3.965 7.143 Å, 90.00 108.60 90.00°
Fractional coordinates of all 8 atoms:
Sc1 0.227 0.000 0.213
Sc2 0.248 0.500 0.781
Sc3 0.752 0.500 0.219
Sc4 0.773 0.000 0.787
Bi1 0.000 0.000 0.500
Bi2 0.500 0.500 0.500
P1 0.000 0.500 0.000
Se1 0.500 0.000 0.000

Calculated values
**Raw formation energy**: -8.7 eV per formula unit
**Space group**: P2/m, No. 10

Entry 2:
Below is a relaxed structure of Sr2Sc2Bi2P, with properties calculated at the GGA-PBE level.

Cell: 9.298 9.298 9.298 Å, 148.86 148.86 44.62°
Fractional coordinates of all 7 atoms:
Sr1 0.172 0.172 0.000
Sr2 0.828 0.828 0.000
Sc1 0.000 0.500 0.500
Sc2 0.500 0.000 0.500
Bi1 0.375 0.375 0.000
Bi2 0.625 0.625 0.000
P1 0.000 0.000 0.000

Calculated values
**Formation enthalpy at 0 K**: -0.993 eV per atom
**Space group**: I4/mmm, No. 139

Entry 3:
Below is a relaxed structure of Sc4BiTe2P, with properties calculated at the GGA-PBE level.

Cell: 7.115 4.044 7.152 Å, 90.00 109.04 90.00°
Fractional coordinates of all 8 atoms:
Sc1 0.214 0.000 0.214
Sc2 0.227 0.500 0.773
Sc3 0.773 0.500 0.227
Sc4 0.786 0.000 0.786
Bi1 0.000 0.000 0.500
Te1 0.500 0.000 0.000
Te2 0.500 0.500 0.500
P1 0.000 0.500 0.000

Calculated values
**Raw formation energy**: -8.9 eV per formula unit
**Space group**: P2/m, No. 10

Entry 4:
Below is a relaxed structure of Sc2TlBiP, with properties calculated at the GGA-PBE level.

Cell: 5.381 5.381 5.613 Å, 90.00 90.00 90.00°
Fractional coordinates of all 5 atoms:
Sc1 0.000 0.500 0.000
Sc2 0.500 0.000 0.000
Tl1 0.000 0.000 0.000
Bi1 0.000 0.000 0.500
P1 0.500 0.500 0.500

Calculated values
**Formation enthalpy at 0 K**: 0.828 eV per atom
**Space group**: P4/mmm, No. 123

Entry 5:
Below is a relaxed structure of Tm2Sc2Bi2P, with properties calculated at the GGA-PBE level.

Cell: 8.672 8.672 8.672 Å, 147.61 147.61 46.46°
Fractional coordinates of all 7 atoms:
Tm1 0.166 0.166 0.000
Tm2 0.834 0.834 0.000
Sc1 0.000 0.500 0.500
Sc2 0.500 0.000 0.500
Bi1 0.362 0.362 0.000
Bi2 0.638 0.638 0.000
P1 0.000 0.000 0.000

Calculated values
**Formation enthalpy at 0 K**: -0.782 eV per atom
**Space group**: I4/mmm, No. 139

Entry 6:
Below is a relaxed structure of YScBiP2, with properties calculated at the GGA-PBE level.

Cell: 4.859 4.859 5.952 Å, 90.00 90.00 90.00°
Fractional coordinates of all 5 atoms:
Y1 0.000 0.000 0.000
Sc1 0.000 0.000 0.500
Bi1 0.500 0.500 0.000
P1 0.000 0.500 0.500
P2 0.500 0.000 0.500

Calculated values
**Formation enthalpy at 0 K**: 0.213 eV per atom
**Space group**: P4/mmm, No. 123

Entry 7:
Below is a relaxed structure of Bi2PSe, with properties calculated at the GGA-PBE level.

Cell: 8.123 8.123 8.123 Å, 28.43 28.43 28.43°
Fractional coordinates of all 4 atoms:
Bi1 0.000 0.000 0.000
Bi2 0.181 0.181 0.181
P1 0.593 0.593 0.593
Se1 0.766 0.766 0.766

Calculated values
**Raw formation energy**: 0.0 eV per formula unit
**Space group**: R3m, No. 160

Entry 8:
Below is a relaxed structure of BiP3Se, with properties calculated at the GGA-PBE level.

Cell: 4.814 4.814 4.814 Å, 90.00 90.00 90.00°
Fractional coordinates of all 5 atoms:
Bi1 0.000 0.000 0.000
P1 0.000 0.500 0.500
P2 0.500 0.000 0.500
P3 0.500 0.500 0.000
Se1 0.500 0.500 0.500

Calculated values
**Raw formation energy**: 4.3 eV per formula unit
**Space group**: Pm-3m, No. 221

Entry 9:
Below is a relaxed structure of BiPSe, with properties calculated at the GGA-PBE level.

Cell: 4.269 4.269 10.561 Å, 94.44 94.44 77.80°
Fractional coordinates of all 6 atoms:
Bi1 0.055 0.055 0.296
Bi2 0.945 0.945 0.704
P1 0.330 0.330 0.627
P2 0.670 0.670 0.373
Se1 0.497 0.497 0.830
Se2 0.503 0.503 0.170

Calculated values
**Raw formation energy**: 0.4 eV per formula unit
**Space group**: C2/m, No. 12

Entry 10:
Below is a relaxed structure of BiPSe, with properties calculated at the GGA-PBE level.

Cell: 4.203 5.369 8.177 Å, 102.41 90.80 110.19°
Fractional coordinates of all 6 atoms:
Bi1 0.000 0.000 0.000
Bi2 0.336 0.664 0.438
P1 0.946 0.934 0.629
P2 0.963 0.350 0.648
Se1 0.269 0.551 0.911
Se2 0.584 0.190 0.246

Calculated values
**Raw formation energy**: -0.1 eV per formula unit
**Space group**: P1, No. 1

Entry 11:
Below is a relaxed structure of Bi2PSe, with properties calculated at the GGA-PBE level.

Cell: 7.921 7.921 7.921 Å, 29.50 29.50 29.50°
Fractional coordinates of all 4 atoms:
Bi1 0.244 0.244 0.244
Bi2 0.756 0.756 0.756
P1 0.500 0.500 0.500
Se1 0.000 0.000 0.000

Calculated values
**Raw formation energy**: -0.2 eV per formula unit
**Space group**: R-3m, No. 166

Entry 12:
Below is a relaxed structure of BiPSe, with properties calculated at the GGA-PBE level.

Cell: 6.723 6.723 9.909 Å, 126.83 126.83 29.76°
Fractional coordinates of all 6 atoms:
Bi1 0.087 0.087 0.443
Bi2 0.913 0.913 0.557
P1 0.199 0.199 0.903
P2 0.801 0.801 0.097
Se1 0.307 0.307 0.793
Se2 0.693 0.693 0.207

Calculated values
**Raw formation energy**: 0.0 eV per formula unit
**Space group**: C2/m, No. 12